Entry 1:
The following is a GGA-PBE calculation of a relaxed structure of Nd10Er4Tm, from the Alexandria database.

abc: 7.793 9.544 9.544
angles: 80.40 65.90 65.90
Element x y z (fractional)
Nd  0.150  0.299  0.899
Nd  0.349  0.701  0.101
Nd  0.850  0.701  0.101
Nd  0.050  0.101  0.299
Nd  0.550  0.101  0.299
Nd  0.250  0.500  0.500
Nd  0.651  0.299  0.899
Nd  0.950  0.899  0.701
Nd  0.450  0.899  0.701
Nd  0.750  0.500  0.500
Er  0.601  0.199  0.600
Er  0.399  0.801  0.400
Er  0.200  0.400  0.199
Er  0.800  0.600  0.801
Tm  0.000  0.000  0.000

Computed properties:
Space group: No. 87

***

Entry 2:
The following is a GGA-PBE calculation of a relaxed structure of TbTh2PdRh5, from the Alexandria database.

abc: 8.374 8.374 8.005
angles: 121.54 121.54 90.00
Element x y z (fractional)
Rh  0.447  0.326  0.272
Rh  0.000  0.000  0.000
Rh  0.674  0.174  0.728
Rh  0.947  0.447  0.272
Rh  0.553  0.674  0.728
Rh  0.826  0.947  0.272
Rh  0.326  0.826  0.272
Rh  0.500  0.500  0.000
Rh  0.174  0.053  0.728
Rh  0.053  0.553  0.728
Th  0.861  0.639  0.000
Th  0.139  0.361  0.000
Th  0.361  0.861  0.000
Th  0.639  0.139  0.000
Pd  0.250  0.750  0.500
Pd  0.750  0.250  0.500
Tb  0.750  0.750  0.500
Tb  0.250  0.250  0.500

Computed properties:
Space group: No. 140

***

Entry 3:
The following is a GGA-PBE calculation of a relaxed structure of Ac2GdTh, from the Alexandria database.

abc: 6.003 6.003 6.003
angles: 60.00 60.00 60.00
Each line ends with the local moment (μB).
Element x y z (fractional)
Gd  0.500  0.500  0.500  7.30
Ac  0.750  0.750  0.750  0.06
Ac  0.250  0.250  0.250  0.06
Th  0.000  0.000  0.000  -0.09

Computed properties:
Distance to the lowest polymorph of the same formula (meV/atom): 132
Space group: No. 225

***

Entry 4:
The following is a GGA-PBE calculation of a relaxed structure of LiTl2Ir, from the Alexandria database.

abc: 4.488 3.360 5.565
angles: 69.61 90.00 90.00
Element x y z (fractional)
Li  0.500  0.541  0.763
Tl  0.500  0.300  0.321
Tl  0.000  0.950  0.932
Ir  0.000  0.708  0.485

Computed properties:
Space group: No. 6

***

Entry 5:
The following is a GGA-PBE calculation of a relaxed structure of NaAl2CoCu, from the Alexandria database.

abc: 4.462 4.961 4.462
angles: 90.00 90.00 90.00
Element x y z (fractional)
Na  0.000  0.500  0.000
Co  0.000  0.000  0.000
Al  0.000  0.000  0.500
Al  0.500  0.000  0.000
Cu  0.500  0.500  0.500

Computed properties:
Space group: No. 123

***

Entry 6:
The following is a GGA-PBE calculation of a relaxed structure of CrCoRe2, from the Alexandria database.

abc: 2.629 2.629 7.615
angles: 90.00 90.00 90.03
Each line ends with the local moment (μB).
Element x y z (fractional)
Re  0.000  0.000  0.008  -0.03
Re  0.000  0.000  0.492  -0.03
Co  0.500  0.500  0.250  -0.03
Cr  0.500  0.500  0.750  0.79

Computed properties:
Distance to the lowest polymorph of the same formula (meV/atom): 72
Space group: No. 123

***

Entry 7:
The following is a GGA-PBE calculation of a relaxed structure of SrLiMn2, from the Alexandria database.

abc: 9.978 9.978 9.978
angles: 18.93 18.93 18.93
Each line ends with the local moment (μB).
Element x y z (fractional)
Mn  0.009  0.009  0.009  3.94
Mn  0.491  0.491  0.491  3.94
Sr  0.250  0.250  0.250  -0.16
Li  0.750  0.750  0.750  -0.03

Computed properties:
Distance to the lowest polymorph of the same formula (meV/atom): 479
Space group: No. 166

***

Entry 8:
The following is a GGA-PBE calculation of a relaxed structure of TlC, from the Alexandria database.

abc: 10.883 10.883 10.883
angles: 15.05 15.05 15.05
Element x y z (fractional)
Tl  0.880  0.880  0.880
Tl  0.120  0.120  0.120
C  0.333  0.333  0.333
C  0.667  0.667  0.667

Computed properties:
Distance to the lowest polymorph of the same formula (meV/atom): 292
Space group: No. 166

***

no.,calculated volume (Å³ per atom),energy of formation from the pure elements (eV per atom)
1,39.4,0.68
2,21.0,-0.39
3,38.2,0.24
4,19.7,0.18
5,19.8,0.49
6,13.2,0.12
7,22.8,0.85
8,18.9,1.08